DFT (PBE) results for a relaxed structure of NaTe2Au.

Properties
- Electronic total energy: -3.068 eV per atom
- Density of states at the Fermi level: 0.3 states/eV/f.u.
- Formation energy (no corrections): -1.4 eV/f.u.
- E above lowest polymorph: 7 meV per atom

```
data_NaTe2Au
_chemical_formula_sum 'Na4 Te8 Au4'
_cell_length_a 8.405
_cell_length_b 8.405
_cell_length_c 6.336
_cell_angle_alpha 90.00
_cell_angle_beta 90.00
_cell_angle_gamma 90.00
_space_group_name_H-M_alt 'I -4 2 d'
_space_group_IT_number 122
_space_group_name_Hall 'I -4 2bw'
loop_
_atom_site_label
_atom_site_fract_x
_atom_site_fract_y
_atom_site_fract_z
_atom_site_occupancy
Na1 0.000 0.000 0.000 1
Te1 0.193 0.250 0.625 1
Au1 0.000 0.000 0.500 1
```